This record from the Alexandria database describes a PBEsol-optimized structure of FeAuSe2N. The functional is meta-GGA SCAN.

a b c (Å): 4.857 4.857 3.326
angles (deg): 90.00 90.00 90.00
Fractional coordinates of all 5 atoms:
Fe  0.000  0.000  0.000
Au  0.500  0.500  0.500
Se  0.000  0.500  0.000
Se  0.500  0.000  0.000
N  0.000  0.000  0.500

density of states at the Fermi level	0.913	states/eV per atom
formation energy without anion corrections	46	kJ/mol of atoms
total DFT energy (no corrections)	-134.3	eV per formula unit